ZnIn2Hg at its PBEsol-relaxed geometry, computed with SCAN.

calculated formation energy	0.130	eV/atom
energy relative to the lowest polymorph listed for this composition	0.244	eV per formula unit

Lattice parameters (Å, degrees): 3.285 5.297 10.219 90.00 90.00 90.00
Space group Imm2 (No. 44)
One atom of each set of equivalent atoms:
1 Zn 0.000 0.000 0.000
2 In 0.000 0.000 0.509
3 In 0.000 0.500 0.730
4 Hg 0.000 0.500 0.280


ZnInHg2 at its PBEsol-relaxed geometry, computed with SCAN.

calculated formation energy	0.073	eV/atom

Lattice parameters (Å, degrees): 3.299 4.480 11.963 90.00 90.00 90.00
Space group Imm2 (No. 44)
One atom of each set of equivalent atoms:
1 Zn 0.000 0.000 0.000
2 In 0.000 0.500 0.705
3 Hg 0.000 0.000 0.509
4 Hg 0.000 0.500 0.307


Zn2InHg at its PBEsol-relaxed geometry, computed with SCAN.

calculated formation energy	0.097	eV/atom
energy relative to the lowest polymorph listed for this composition	0.000	eV per formula unit

Lattice parameters (Å, degrees): 8.654 3.335 5.427 90.00 101.17 90.00
Space group Cm (No. 8)
One atom of each set of equivalent atoms:
1 Zn 0.000 0.000 0.000
2 Zn 0.236 0.500 0.185
3 In 0.247 0.000 0.733
4 Hg 0.485 0.000 0.430


ZnInHg2 at its PBEsol-relaxed geometry, computed with SCAN.

calculated formation energy	0.137	eV/atom

Lattice parameters (Å, degrees): 3.135 4.203 6.480 90.00 90.00 90.00
Space group Pmm2 (No. 25)
One atom of each set of equivalent atoms:
1 Zn 0.000 0.000 0.000
2 In 0.500 0.500 0.745
3 Hg 0.000 0.000 0.480
4 Hg 0.500 0.500 0.211


Zn2InHg at its PBEsol-relaxed geometry, computed with SCAN.

calculated formation energy	0.099	eV/atom
energy relative to the lowest polymorph listed for this composition	0.007	eV per formula unit

Lattice parameters (Å, degrees): 3.717 4.218 5.243 90.00 109.37 90.00
Space group Pm (No. 6)
One atom of each set of equivalent atoms:
1 Zn 0.000 0.000 0.000
2 Zn 0.135 0.500 0.297
3 In 0.426 0.500 0.844
4 Hg 0.709 0.000 0.448


Zn2InHg at its PBEsol-relaxed geometry, computed with SCAN.

calculated formation energy	0.184	eV/atom
energy relative to the lowest polymorph listed for this composition	0.346	eV per formula unit

Lattice parameters (Å, degrees): 4.139 4.496 8.197 90.00 90.00 90.00
Space group Immm (No. 71)
One atom of each set of equivalent atoms:
1 Zn 0.000 0.000 0.248
2 In 0.000 0.500 0.000
3 Hg 0.000 0.500 0.500


ZnInHg2 at its PBEsol-relaxed geometry, computed with SCAN.

calculated formation energy	0.122	eV/atom

Lattice parameters (Å, degrees): 3.428 5.393 9.523 90.00 90.00 90.00
Space group Cmmm (No. 65)
One atom of each set of equivalent atoms:
1 Zn 0.000 0.000 0.000
2 In 0.000 0.000 0.500
3 Hg 0.000 0.500 0.226


ZnIn2Hg at its PBEsol-relaxed geometry, computed with SCAN.

calculated formation energy	0.154	eV/atom
energy relative to the lowest polymorph listed for this composition	0.338	eV per formula unit

Lattice parameters (Å, degrees): 4.515 4.515 8.601 90.00 90.00 90.00
Space group I-4m2 (No. 119)
One atom of each set of equivalent atoms:
1 Zn 0.000 0.000 0.000
2 In 0.000 0.000 0.500
3 In 0.000 0.500 0.750
4 Hg 0.000 0.500 0.250


ZnIn2Hg at its PBEsol-relaxed geometry, computed with SCAN.

calculated formation energy	0.084	eV/atom
energy relative to the lowest polymorph listed for this composition	0.059	eV per formula unit

Lattice parameters (Å, degrees): 3.774 4.128 6.034 90.00 107.83 90.00
Space group Pm (No. 6)
One atom of each set of equivalent atoms:
1 Zn 0.000 0.000 0.000
2 In 0.430 0.500 0.862
3 In 0.746 0.000 0.507
4 Hg 0.152 0.500 0.317


Zn2InHg at its PBEsol-relaxed geometry, computed with SCAN.

calculated formation energy	0.179	eV/atom
energy relative to the lowest polymorph listed for this composition	0.328	eV per formula unit

Lattice parameters (Å, degrees): 3.066 3.066 8.112 90.00 90.00 90.00
Space group P4/mmm (No. 123)
One atom of each set of equivalent atoms:
1 Zn 0.000 0.000 0.241
2 In 0.500 0.500 0.500
3 Hg 0.500 0.500 0.000


ZnInHg2 at its PBEsol-relaxed geometry, computed with SCAN.

calculated formation energy	0.058	eV/atom

Lattice parameters (Å, degrees): 3.3666 3.3666 26.0986 90.00 90.00 120.00
Space group R-3m (No. 166, hexagonal axes)
One atom of each set of equivalent atoms:
1 Zn 0.0000 0.0000 0.0000
2 In 0.0000 0.0000 0.5000
3 Hg 0.0000 0.0000 0.2581


ZnIn2Hg at its PBEsol-relaxed geometry, computed with SCAN.

calculated formation energy	0.122	eV/atom
energy relative to the lowest polymorph listed for this composition	0.212	eV per formula unit

Lattice parameters (Å, degrees): 3.259 3.259 8.198 90.00 90.00 90.00
Space group P4/mmm (No. 123)
One atom of each set of equivalent atoms:
1 Zn 0.000 0.000 0.000
2 In 0.500 0.500 0.228
3 Hg 0.000 0.000 0.500


ZnIn2Hg at its PBEsol-relaxed geometry, computed with SCAN.

calculated formation energy	0.118	eV/atom
energy relative to the lowest polymorph listed for this composition	0.195	eV per formula unit

Lattice parameters (Å, degrees): 3.714 4.060 6.003 90.00 100.89 90.00
Space group P2/m (No. 10)
One atom of each set of equivalent atoms:
1 Zn 0.000 0.000 0.000
2 In 0.450 0.500 0.241
3 Hg 0.000 0.000 0.500


ZnInHg2 at its PBEsol-relaxed geometry, computed with SCAN.

calculated formation energy	0.055	eV/atom

Lattice parameters (Å, degrees): 8.680 3.349 6.057 90.00 102.58 90.00
Space group C2/m (No. 12)
One atom of each set of equivalent atoms:
1 Zn 0.000 0.000 0.000
2 In 0.000 0.500 0.500
3 Hg 0.241 0.500 0.222


ZnInHg2 at its PBEsol-relaxed geometry, computed with SCAN.

calculated formation energy	0.108	eV/atom

Lattice parameters (Å, degrees): 3.717 5.378 8.778 90.00 90.00 90.00
Space group Immm (No. 71)
One atom of each set of equivalent atoms:
1 Zn 0.000 0.000 0.000
2 In 0.000 0.000 0.500
3 Hg 0.000 0.500 0.270


ZnInHg2 at its PBEsol-relaxed geometry, computed with SCAN.

calculated formation energy	0.084	eV/atom

Lattice parameters (Å, degrees): 7.846 7.846 5.892 90.00 90.00 90.00
Space group I-42d (No. 122)
One atom of each set of equivalent atoms:
1 Zn 0.000 0.000 0.000
2 In 0.000 0.000 0.500
3 Hg 0.220 0.250 0.125


Zn2InHg at its PBEsol-relaxed geometry, computed with SCAN.

calculated formation energy	0.118	eV/atom
energy relative to the lowest polymorph listed for this composition	0.084	eV per formula unit

Lattice parameters (Å, degrees): 3.2363 3.2363 25.6046 90.00 90.00 120.00
Space group R3m (No. 160, hexagonal axes)
One atom of each set of equivalent atoms:
1 Zn 0.0000 0.0000 0.0000
2 Zn 0.0000 0.0000 0.2635
3 In 0.0000 0.0000 0.7525
4 Hg 0.0000 0.0000 0.5156


Zn2InHg2 at its PBEsol-relaxed geometry, computed with SCAN.

calculated formation energy	0.111	eV/atom

Lattice parameters (Å, degrees): 3.944 3.944 13.246 90.00 90.00 90.00
Space group I4/mmm (No. 139)
One atom of each set of equivalent atoms:
1 Zn 0.000 0.500 0.250
2 In 0.000 0.000 0.000
3 Hg 0.000 0.000 0.392


ZnInHg2 at its PBEsol-relaxed geometry, computed with SCAN.

calculated formation energy	0.113	eV/atom

Lattice parameters (Å, degrees): 3.218 3.218 8.329 90.00 90.00 90.00
Space group P4mm (No. 99)
One atom of each set of equivalent atoms:
1 Zn 0.000 0.000 0.000
2 In 0.500 0.500 0.763
3 Hg 0.000 0.000 0.484
4 Hg 0.500 0.500 0.213


ZnInHg2 at its PBEsol-relaxed geometry, computed with SCAN.

calculated formation energy	0.091	eV/atom

Lattice parameters (Å, degrees): 3.3469 3.3469 26.3723 90.00 90.00 120.00
Space group R3m (No. 160, hexagonal axes)
One atom of each set of equivalent atoms:
1 Zn 0.0000 0.0000 0.0000
2 In 0.0000 0.0000 0.7469
3 Hg 0.0000 0.0000 0.2590
4 Hg 0.0000 0.0000 0.5039


Computed values of E (unit: eV per atom) for the preceding records, in sequence: -36.98; -45.74; -32.05; -45.67; -32.05; -31.96; -45.69; -36.96; -37.03; -31.97; -45.75; -36.99; -37.00; -45.75; -45.70; -45.72; -32.03; -39.24; -45.70; -45.72.